Below is NaNbPO after structural relaxation, with properties calculated at the PBE level.

Crystal system: orthorhombic
Calculated density in g/cm3: 3.85
DFT total energy in eV per atom: -6.686
Space group: Pmc2_1
M_tot in μB per cell: 0.00

Lattice parameters (Å, degrees): 3.4365 6.9150 5.9052 90.00 90.00 90.00
Closest atoms and distances in Å follow each position.
Fractional coordinates of all 8 atoms:
Na1 0.0000 0.0982 0.0000  2 O 2.20
Na2 0.0000 0.9018 0.5000  2 O 2.20
Nb1 0.5000 0.4918 0.7288  2 O 1.97-2.13
Nb2 0.5000 0.5082 0.2288  2 O 1.97-2.13
P1 0.0000 0.3081 0.4641  4 Nb 2.61-2.65, 1 Na 2.82
P2 0.0000 0.6919 0.9641  4 Nb 2.61-2.65, 1 Na 2.82
O1 0.5000 0.2946 0.9698  2 Nb 1.97-2.13, 2 Na 2.20
O2 0.5000 0.7054 0.4698  2 Nb 1.97-2.13, 2 Na 2.20